<i>
This record from Alexandria via LeMat-Bulk describes a relaxed HgIrF2 crystal. The functional is GGA-PBE.

```
data_HgIrF2
_symmetry_space_group_name_H-M 'P 1'
_symmetry_Int_Tables_number 1
_cell_length_a 4.429
_cell_length_b 4.429
_cell_length_c 7.865
_cell_angle_alpha 73.65
_cell_angle_beta 73.65
_cell_angle_gamma 90.00
loop_
_symmetry_equiv_pos_as_xyz
'x,y,z'
loop_
_atom_site_label
_atom_site_type_symbol
_atom_site_fract_x
_atom_site_fract_y
_atom_site_fract_z
_atom_site_occupancy
Ir1 Ir 0.500 0.500 0.000 1
F1 F 0.875 0.626 0.750 1
Ir2 Ir 0.250 0.750 0.500 1
F2 F 0.375 0.624 0.750 1
F3 F 0.374 0.625 0.250 1
Hg1 Hg 0.000 0.000 0.000 1
Hg2 Hg 0.750 0.250 0.500 1
F4 F 0.376 0.125 0.250 1
```

***

<ii>
This record from Alexandria via LeMat-Bulk describes a relaxed HgIrF2 crystal. The functional is GGA-PBE.

```
data_HgIrF2
_symmetry_space_group_name_H-M 'P 1'
_symmetry_Int_Tables_number 1
_cell_length_a 8.975
_cell_length_b 8.975
_cell_length_c 8.975
_cell_angle_alpha 18.10
_cell_angle_beta 18.10
_cell_angle_gamma 18.10
loop_
_symmetry_equiv_pos_as_xyz
'x,y,z'
loop_
_atom_site_label
_atom_site_type_symbol
_atom_site_fract_x
_atom_site_fract_y
_atom_site_fract_z
_atom_site_occupancy
F1 F 0.073 0.073 0.073 1
Hg1 Hg 0.500 0.500 0.500 1
F2 F 0.927 0.927 0.927 1
Ir1 Ir 0.000 0.000 0.000 1
```

***

Quick one: most stable of them? <ii>